Model a:
SrLiN2: single point on PBEsol structure, meta-GGA SCAN.

Calculated values
The space-group type is R-3m (166).

Lattice parameters (Å, degrees): 3.777 3.777 4.792 66.79 66.79 60.00
Fractional coordinates of all 4 atoms:
N: 0.222 0.222 0.334
Li: 0.500 0.500 0.500
Sr: 0.000 0.000 0.000
N: 0.778 0.778 0.666


Model b:
SrLiN2: single point on PBEsol structure, meta-GGA SCAN.

Calculated values
The space-group type is I4_1/amd (141).

Lattice parameters (Å, degrees): 3.938 3.938 7.002 106.33 106.33 90.00
Fractional coordinates of all 8 atoms:
Sr: 0.000 0.000 0.000
N: 0.125 0.375 0.750
Li: 0.750 0.250 0.500
Li: 0.500 0.500 0.000
N: 0.625 0.875 0.250
N: 0.625 0.375 0.750
N: 0.625 0.375 0.250
Sr: 0.250 0.750 0.500


Stability verdict: model b, ahead by 165 meV per atom


Model a:
LiTlTe2N: single point on PBEsol structure, meta-GGA SCAN.

Calculated values
The space-group type is P4/mmm (123).

Lattice parameters (Å, degrees): 4.153 5.943 5.943 90.00 90.00 90.00
Fractional coordinates of all 5 atoms:
Li: 0.500 0.500 0.500
Te: 0.000 0.000 0.500
Tl: 0.000 0.000 0.000
N: 0.500 0.000 0.000
Te: 0.000 0.500 0.000


Model b:
LiTlTe2N: single point on PBEsol structure, meta-GGA SCAN.

Calculated values
The space-group type is P4/mmm (123).

Lattice parameters (Å, degrees): 3.545 5.497 5.497 90.00 90.00 90.00
Fractional coordinates of all 5 atoms:
Tl: 0.500 0.500 0.500
N: 0.500 0.000 0.000
Te: 0.000 0.500 0.000
Li: 0.000 0.000 0.000
Te: 0.000 0.000 0.500


Stability verdict: model b, ahead by 117 meV per atom


Model a:
LiTl3N: single point on PBEsol structure, meta-GGA SCAN.

Calculated values
The space-group type is Pm-3m (221).

Lattice parameters (Å, degrees): 4.935 4.935 4.935 90.00 90.00 90.00
Fractional coordinates of all 5 atoms:
Tl: 0.000 0.000 0.500
Li: 0.500 0.500 0.500
Tl: 0.500 0.000 0.000
Tl: 0.000 0.500 0.000
N: 0.000 0.000 0.000


Model b:
LiTl3N: single point on PBEsol structure, meta-GGA SCAN.

Calculated values
The space-group type is Pm-3m (221).

Lattice parameters (Å, degrees): 4.953 4.953 4.953 90.00 90.00 90.00
Fractional coordinates of all 5 atoms:
Tl: 0.000 0.500 0.000
Tl: 0.000 0.000 0.500
Tl: 0.500 0.000 0.000
N: 0.500 0.500 0.500
Li: 0.000 0.000 0.000


Stability verdict: model a, ahead by 298 meV per atom


Model a:
LiVN2: single point on PBEsol structure, meta-GGA SCAN.

Calculated values
The space-group type is Pna2_1 (33).

Lattice parameters (Å, degrees): 4.959 5.414 6.589 90.00 90.00 90.00
Fractional coordinates of all 16 atoms:
N: 0.362 0.055 0.101
N: 0.862 0.945 0.899
V: 0.504 0.926 0.874
Li: 0.489 0.419 0.122
V: 0.004 0.074 0.126
V: 0.004 0.574 0.374
Li: 0.989 0.581 0.878
N: 0.916 0.395 0.153
V: 0.504 0.426 0.626
N: 0.362 0.555 0.399
N: 0.416 0.605 0.847
N: 0.416 0.105 0.653
N: 0.916 0.895 0.347
N: 0.862 0.445 0.601
Li: 0.989 0.081 0.622
Li: 0.489 0.919 0.378


Model b:
LiVN2: single point on PBEsol structure, meta-GGA SCAN.

Calculated values
The space-group type is I-42d (122).

Lattice parameters (Å, degrees): 4.616 5.300 4.616 115.81 90.00 115.81
Fractional coordinates of all 8 atoms:
Li: 0.750 0.500 0.250
N: 0.625 0.750 0.069
N: 0.125 0.750 0.681
N: 0.319 0.250 0.375
Li: 0.500 0.000 0.500
V: 0.000 0.000 0.000
V: 0.250 0.500 0.750
N: 0.931 0.250 0.875


Stability verdict: model a, ahead by 18 meV per atom


Model a:
LiWN2: single point on PBEsol structure, meta-GGA SCAN.

Calculated values
The space-group type is I-42d (122).

Lattice parameters (Å, degrees): 4.633 4.633 5.679 114.08 114.08 90.00
Fractional coordinates of all 8 atoms:
Li: 0.500 0.500 0.000
N: 0.125 0.083 0.750
W: 0.000 0.000 0.000
W: 0.250 0.750 0.500
Li: 0.750 0.250 0.500
N: 0.625 0.667 0.750
N: 0.917 0.375 0.250
N: 0.333 0.875 0.250


Model b:
LiWN2: single point on PBEsol structure, meta-GGA SCAN.

Calculated values
The space-group type is R3m (160).

Lattice parameters (Å, degrees): 2.929 2.929 5.594 74.82 74.82 60.00
Fractional coordinates of all 4 atoms:
N: 0.405 0.405 0.786
N: 0.588 0.588 0.236
W: 0.997 0.997 0.010
Li: 0.171 0.171 0.488


Stability verdict: model a, ahead by 19 meV per atom


Model a:
NaLiS2: single point on PBEsol structure, meta-GGA SCAN.

Calculated values
The space-group type is I-42d (122).

Lattice parameters (Å, degrees): 4.711 4.711 8.359 106.37 106.37 90.00
Fractional coordinates of all 8 atoms:
S: 0.625 0.443 0.750
Li: 0.500 0.500 0.000
S: 0.693 0.375 0.250
Li: 0.750 0.250 0.500
Na: 0.000 0.000 0.000
Na: 0.250 0.750 0.500
S: 0.557 0.875 0.250
S: 0.125 0.307 0.750


Model b:
NaLiS2: single point on PBEsol structure, meta-GGA SCAN.

Calculated values
The space-group type is Fm-3m (225).

Lattice parameters (Å, degrees): 4.550 4.550 4.550 60.00 60.00 60.00
Fractional coordinates of all 4 atoms:
S: 0.750 0.750 0.750
Li: 0.000 0.000 0.000
Na: 0.500 0.500 0.500
S: 0.250 0.250 0.250


Stability verdict: model a, ahead by 270 meV per atom


Model a:
NaSr2Li2: single point on PBEsol structure, meta-GGA SCAN.

Calculated values
The space-group type is P4/mbm (127).

Lattice parameters (Å, degrees): 4.951 8.693 8.693 90.00 90.00 90.00
Fractional coordinates of all 10 atoms:
Na: 0.000 0.000 0.000
Sr: 0.500 0.174 0.674
Sr: 0.500 0.826 0.326
Li: 0.000 0.621 0.121
Li: 0.000 0.879 0.621
Sr: 0.500 0.326 0.174
Li: 0.000 0.121 0.379
Li: 0.000 0.379 0.879
Na: 0.000 0.500 0.500
Sr: 0.500 0.674 0.826


Model b:
NaSr2Li2: single point on PBEsol structure, meta-GGA SCAN.

Calculated values
The space-group type is I4/mmm (139).

Lattice parameters (Å, degrees): 4.061 4.061 11.513 100.16 100.16 90.00
Fractional coordinates of all 5 atoms:
Sr: 0.618 0.618 0.236
Na: 0.000 0.000 0.000
Li: 0.250 0.750 0.500
Li: 0.750 0.250 0.500
Sr: 0.382 0.382 0.764


Stability verdict: model a, ahead by 56 meV per atom


Model a:
Na2SrLi: single point on PBEsol structure, meta-GGA SCAN.

Calculated values
The space-group type is Fm-3m (225).

Lattice parameters (Å, degrees): 5.920 5.920 5.920 60.00 60.00 60.00
Fractional coordinates of all 4 atoms:
Li: 0.000 0.000 0.000
Na: 0.750 0.750 0.750
Sr: 0.500 0.500 0.500
Na: 0.250 0.250 0.250


Model b:
Na2SrLi: single point on PBEsol structure, meta-GGA SCAN.

Calculated values
The space-group type is I-42d (122).

Lattice parameters (Å, degrees): 4.876 4.876 13.357 100.52 100.52 90.00
Fractional coordinates of all 8 atoms:
Na: 0.625 0.593 0.750
Na: 0.843 0.375 0.250
Na: 0.125 0.157 0.750
Na: 0.407 0.875 0.250
Sr: 0.250 0.750 0.500
Li: 0.750 0.250 0.500
Sr: 0.000 0.000 0.000
Li: 0.500 0.500 0.000


Stability verdict: model a, ahead by 48 meV per atom


Model a:
Li3NbO4: single point on PBEsol structure, meta-GGA SCAN.

Calculated values
The space-group type is I-43m (217).

Lattice parameters (Å, degrees): 7.278 7.278 7.278 109.47 109.47 109.47
Fractional coordinates of all 32 atoms:
O: 0.488 0.246 0.488
O: 0.229 0.000 0.000
Li: 0.758 0.486 0.486
Nb: 0.281 0.281 0.281
Li: 0.514 0.272 0.000
O: 0.754 0.242 0.242
O: 0.488 0.488 0.246
O: 0.000 0.512 0.758
Li: 0.486 0.758 0.486
Nb: 0.000 0.000 0.719
Li: 0.272 0.000 0.514
O: 0.000 0.229 0.000
O: 0.000 0.758 0.512
O: 0.512 0.758 0.000
Li: 0.000 0.514 0.272
Li: 0.728 0.242 0.728
Li: 0.272 0.514 0.000
Li: 0.000 0.272 0.514
O: 0.512 0.000 0.758
O: 0.758 0.000 0.512
O: 0.758 0.512 0.000
Li: 0.242 0.728 0.728
Nb: 0.719 0.000 0.000
Li: 0.486 0.486 0.758
O: 0.242 0.242 0.754
O: 0.246 0.488 0.488
Li: 0.728 0.728 0.242
Li: 0.514 0.000 0.272
Nb: 0.000 0.719 0.000
O: 0.242 0.754 0.242
O: 0.771 0.771 0.771
O: 0.000 0.000 0.229


Model b:
Li3NbO4: single point on PBEsol structure, meta-GGA SCAN.

Calculated values
The space-group type is I4/mmm (139).

Lattice parameters (Å, degrees): 4.122 4.122 5.110 113.79 113.79 90.00
Fractional coordinates of all 8 atoms:
Li: 0.750 0.250 0.500
O: 0.770 0.770 0.539
O: 0.000 0.500 0.000
Li: 0.500 0.500 0.000
O: 0.500 0.000 0.000
O: 0.230 0.230 0.461
Li: 0.250 0.750 0.500
Nb: 0.000 0.000 0.000


Stability verdict: model a, ahead by 61 meV per atom


Model a:
LiNbP4O12: single point on PBEsol structure, meta-GGA SCAN.

Calculated values
The space-group type is C2/c (15).

Lattice parameters (Å, degrees): 7.296 7.296 9.947 99.21 109.11 109.60
Fractional coordinates of all 36 atoms:
O: 0.979 0.466 0.647
O: 0.681 0.668 0.147
O: 0.926 0.208 0.426
O: 0.369 0.193 0.075
O: 0.246 0.909 0.406
O: 0.996 0.159 0.906
P: 0.772 0.724 0.023
O: 0.382 0.706 0.575
O: 0.631 0.807 0.925
P: 0.201 0.749 0.477
O: 0.195 0.290 0.317
O: 0.074 0.792 0.574
Li: 0.274 0.024 0.250
P: 0.228 0.276 0.977
P: 0.011 0.697 0.695
P: 0.799 0.251 0.523
O: 0.473 0.879 0.183
Nb: 0.500 0.500 0.500
O: 0.618 0.294 0.425
Li: 0.726 0.976 0.750
P: 0.989 0.303 0.305
O: 0.718 0.499 0.926
O: 0.450 0.346 0.654
O: 0.754 0.091 0.594
O: 0.193 0.796 0.846
O: 0.550 0.654 0.346
O: 0.004 0.841 0.094
P: 0.498 0.684 0.195
O: 0.527 0.121 0.817
P: 0.502 0.316 0.805
O: 0.282 0.501 0.074
O: 0.021 0.534 0.353
Nb: 0.500 0.000 0.000
O: 0.319 0.332 0.853
O: 0.807 0.204 0.154
O: 0.805 0.710 0.683


Model b:
LiNbP4O12: single point on PBEsol structure, meta-GGA SCAN.

Calculated values
The space-group type is C2/m (12).

Lattice parameters (Å, degrees): 5.423 10.772 10.772 70.56 78.76 78.76
Fractional coordinates of all 36 atoms:
Nb: 0.000 0.500 0.000
P: 0.170 0.637 0.206
O: 0.313 0.318 0.560
O: 0.997 0.433 0.838
P: 0.459 0.699 0.935
Li: 0.488 0.405 0.405
O: 0.360 0.080 0.711
O: 0.313 0.560 0.318
O: 0.382 0.851 0.851
P: 0.541 0.301 0.065
O: 0.640 0.289 0.920
P: 0.459 0.935 0.699
O: 0.319 0.902 0.610
O: 0.360 0.711 0.080
O: 0.997 0.838 0.433
Li: 0.512 0.595 0.595
O: 0.640 0.920 0.289
O: 0.618 0.149 0.149
O: 0.687 0.440 0.682
O: 0.681 0.390 0.098
P: 0.541 0.065 0.301
O: 0.000 0.232 0.768
O: 0.745 0.670 0.917
O: 0.319 0.610 0.902
O: 0.687 0.682 0.440
O: 0.255 0.083 0.330
O: 0.003 0.162 0.567
O: 0.681 0.098 0.390
P: 0.830 0.363 0.794
O: 0.000 0.768 0.232
O: 0.003 0.567 0.162
P: 0.830 0.794 0.363
P: 0.170 0.206 0.637
O: 0.745 0.917 0.670
Nb: 0.000 0.000 0.500
O: 0.255 0.330 0.083


Stability verdict: model a, ahead by 30 meV per atom